DFT (PBE-GGA) results for an optimized crystal structure of ZrAlCoCu.

Geometry as extended XYZ:
```
4
Lattice="0.000 3.089 3.089 3.089 0.000 3.089 3.089 3.089 0.000" Properties=species:S:1:pos:R:3 pbc="T T T"
Zr 0.000 0.000 0.000
Al 1.544 1.544 1.544
Co 4.633 4.633 4.633
Cu 3.089 3.089 3.089
```

Results
- Magnetization: 1.06 μB/cell


DFT (PBE-GGA) results for an optimized crystal structure of PrMgAl4Ir2.

Geometry as extended XYZ:
```
8
Lattice="6.335 0.000 0.000 0.000 1.462 11.925 0.000 -1.462 11.925" Properties=species:S:1:pos:R:3 pbc="T T T"
Pr 0.000 0.000 0.000
Mg 0.000 0.000 8.819
Al 1.664 0.000 15.928
Al 1.924 0.000 6.862
Al 4.412 0.000 6.862
Al 4.672 0.000 15.928
Ir 0.000 0.000 2.656
Ir 0.000 0.000 5.474
```

Results
- Magnetization: 0.02 μB/cell


DFT (PBE-GGA) results for an optimized crystal structure of NaAlGePd.

Geometry as extended XYZ:
```
4
Lattice="0.000 3.254 3.254 3.254 0.000 3.254 3.254 3.254 0.000" Properties=species:S:1:pos:R:3 pbc="T T T"
Na 0.000 0.000 0.000
Al 3.254 3.254 3.254
Ge 4.881 4.881 4.881
Pd 1.627 1.627 1.627
```


DFT (PBE-GGA) results for an optimized crystal structure of BaDyPdSe3.

Geometry as extended XYZ:
```
24
Lattice="14.270 0.000 0.000 0.000 4.228 0.000 0.000 0.000 10.844" Properties=species:S:1:pos:R:3 pbc="T T T"
Ba 3.275 1.057 0.469
Ba 3.860 3.171 5.892
Ba 10.410 1.057 4.953
Ba 10.994 3.171 10.375
Dy 0.350 1.057 3.599
Dy 6.785 3.171 9.021
Dy 7.484 1.057 1.823
Dy 13.920 3.171 7.246
Pd 0.015 1.057 9.887
Pd 7.120 3.171 4.465
Pd 7.149 1.057 6.379
Pd 14.255 3.171 0.957
Se 1.332 3.171 9.571
Se 1.405 1.057 6.248
Se 2.124 3.171 2.806
Se 5.011 1.057 8.228
Se 5.730 3.171 0.826
Se 5.803 1.057 4.149
Se 8.467 3.171 6.696
Se 8.540 1.057 10.019
Se 9.258 3.171 2.616
Se 12.146 1.057 8.039
Se 12.865 3.171 4.597
Se 12.937 1.057 1.273
```

Results
- Magnetization: 0.02 μB/cell


DFT total energy for the records above, in order: -5.893; -4.649; -3.861; -5.226 eV per atom
V for the records above, in order: 14.74; 27.61; 17.22; 27.26 Å³/atom